(1)
First-principles (PBEsol) data for K2Cd2Pb after structural relaxation, as listed in Alexandria via LeMat-Bulk.

Structure (POSCAR):
```
K2Cd2Pb
1.0
-2.3817 2.3817 7.4825
2.3817 -2.3817 7.4825
2.3817 2.3817 -7.4825
K Cd Pb
2 2 1
Direct
0.2500 0.7500 0.5000 K
0.7500 0.2500 0.5000 K
0.0901 0.0901 0.0000 Cd
0.9099 0.9099 0.0000 Cd
0.5000 0.5000 0.0000 Pb
```

Output
* magnetic moment: 0.000 μB per cell
* uncorrected energy: -1.471 eV per atom
* crystal system: tetragonal
* calculated formation energy: 0.26 eV per atom
* space-group type: I4/mmm
* distance to the lowest polymorph of the same formula: 300 meV/atom

***

(2)
First-principles (PBEsol) data for K3CdPb after structural relaxation, as listed in Alexandria via LeMat-Bulk.

Structure (POSCAR):
```
K3CdPb
1.0
6.3245 0.0000 0.0000
0.0000 6.3245 0.0000
0.0000 0.0000 6.3245
K Cd Pb
3 1 1
Direct
0.0000 0.0000 0.5000 K
0.0000 0.5000 0.0000 K
0.5000 0.0000 0.0000 K
0.0000 0.0000 0.0000 Cd
0.5000 0.5000 0.5000 Pb
```

Output
* magnetic moment: 0.928 μB per cell
* uncorrected energy: -1.402 eV per atom
* crystal system: cubic
* calculated formation energy: 0.32 eV per atom
* space-group type: Pm-3m

***

(3)
First-principles (PBEsol) data for K2Cd2Pb after structural relaxation, as listed in Alexandria via LeMat-Bulk.

Structure (POSCAR):
```
K2Cd2Pb
1.0
7.6548 0.0000 0.0000
0.0000 7.6548 0.0000
0.0000 0.0000 5.7231
K Cd Pb
4 4 2
Direct
0.1825 0.3175 0.0000 K
0.3175 0.8175 0.0000 K
0.6825 0.1825 0.0000 K
0.8175 0.6825 0.0000 K
0.1308 0.6308 0.5000 Cd
0.3692 0.1308 0.5000 Cd
0.6308 0.8692 0.5000 Cd
0.8692 0.3692 0.5000 Cd
0.0000 0.0000 0.5000 Pb
0.5000 0.5000 0.5000 Pb
```

Output
* magnetic moment: 0.000 μB per cell
* uncorrected energy: -1.771 eV per atom
* crystal system: tetragonal
* calculated formation energy: -0.04 eV per atom
* space-group type: P4/mbm
* distance to the lowest polymorph of the same formula: 0 meV/atom

***

(4)
First-principles (PBEsol) data for KCd2Pb2 after structural relaxation, as listed in Alexandria via LeMat-Bulk.

Structure (POSCAR):
```
KCd2Pb2
1.0
9.1739 0.0000 0.0000
0.0000 9.1739 0.0000
0.0000 0.0000 3.3959
K Cd Pb
2 4 4
Direct
0.0000 0.0000 0.0000 K
0.5000 0.5000 0.0000 K
0.1541 0.3459 0.5000 Cd
0.3459 0.8459 0.5000 Cd
0.6541 0.1541 0.5000 Cd
0.8459 0.6541 0.5000 Cd
0.1392 0.6392 0.0000 Pb
0.3608 0.1392 0.0000 Pb
0.6392 0.8608 0.0000 Pb
0.8608 0.3608 0.0000 Pb
```

Output
* magnetic moment: 0.000 μB per cell
* uncorrected energy: -2.324 eV per atom
* crystal system: tetragonal
* calculated formation energy: -0.02 eV per atom
* space-group type: P4/mbm
* distance to the lowest polymorph of the same formula: 42 meV/atom

***

(5)
First-principles (PBEsol) data for K2CdPb after structural relaxation, as listed in Alexandria via LeMat-Bulk.

Structure (POSCAR):
```
K2CdPb
1.0
5.4282 -4.2568 0.0000
5.4282 4.2568 0.0000
0.0000 0.0000 6.3952
K Cd Pb
4 2 2
Direct
0.0274 0.3227 0.2500 K
0.3227 0.0274 0.7500 K
0.6773 0.9726 0.2500 K
0.9726 0.6773 0.7500 K
0.5000 0.5000 0.0000 Cd
0.5000 0.5000 0.5000 Cd
0.2235 0.7765 0.2500 Pb
0.7765 0.2235 0.7500 Pb
```

Output
* magnetic moment: 0.000 μB per cell
* uncorrected energy: -2.026 eV per atom
* crystal system: orthorhombic
* calculated formation energy: -0.16 eV per atom
* space-group type: Cmcm

***

(6)
First-principles (PBEsol) data for K2CdPb after structural relaxation, as listed in Alexandria via LeMat-Bulk.

Structure (POSCAR):
```
K2CdPb
1.0
-2.4616 2.4616 5.4727
2.4616 -2.4616 5.4727
2.4616 2.4616 -5.4727
K Cd Pb
2 1 1
Direct
0.2500 0.7500 0.5000 K
0.7500 0.2500 0.5000 K
0.0000 0.0000 0.0000 Cd
0.5000 0.5000 0.0000 Pb
```

Output
* magnetic moment: 0.000 μB per cell
* uncorrected energy: -1.842 eV per atom
* crystal system: tetragonal
* calculated formation energy: 0.02 eV per atom
* space-group type: I4/mmm

***

(7)
First-principles (PBEsol) data for K2CdPb after structural relaxation, as listed in Alexandria via LeMat-Bulk.

Structure (POSCAR):
```
K2CdPb
1.0
3.9910 0.0000 0.0000
0.0000 3.9910 0.0000
0.0000 0.0000 9.8507
K Cd Pb
2 1 1
Direct
0.0000 0.0000 0.0000 K
0.5000 0.5000 0.3867 K
0.5000 0.5000 0.7732 Cd
0.0000 0.0000 0.6293 Pb
```

Output
* magnetic moment: 0.000 μB per cell
* uncorrected energy: -1.861 eV per atom
* crystal system: tetragonal
* calculated formation energy: 0.00 eV per atom
* space-group type: P4mm

***

(8)
First-principles (PBEsol) data for KCdPb after structural relaxation, as listed in Alexandria via LeMat-Bulk.

Structure (POSCAR):
```
KCdPb
1.0
0.0000 3.6842 3.6842
3.6842 0.0000 3.6842
3.6842 3.6842 0.0000
K Cd Pb
1 1 1
Direct
0.0000 0.0000 0.0000 K
0.7500 0.7500 0.7500 Cd
0.5000 0.5000 0.5000 Pb
```

Output
* magnetic moment: 0.000 μB per cell
* uncorrected energy: -2.033 eV per atom
* crystal system: cubic
* calculated formation energy: 0.08 eV per atom
* space-group type: F-43m
* distance to the lowest polymorph of the same formula: 171 meV/atom

***

(9)
First-principles (PBEsol) data for KCd2Pd2 after structural relaxation, as listed in Alexandria via LeMat-Bulk.

Structure (POSCAR):
```
KCd2Pd2
1.0
8.2115 0.0000 0.0000
0.0000 8.2115 0.0000
0.0000 0.0000 2.9288
K Cd Pd
2 4 4
Direct
0.0000 0.0000 0.0000 K
0.5000 0.5000 0.0000 K
0.1314 0.3686 0.0000 Cd
0.3686 0.8686 0.0000 Cd
0.6314 0.1314 0.0000 Cd
0.8686 0.6314 0.0000 Cd
0.1628 0.6628 0.5000 Pd
0.3372 0.1628 0.5000 Pd
0.6628 0.8372 0.5000 Pd
0.8372 0.3372 0.5000 Pd
```

Output
* magnetic moment: 0.000 μB per cell
* uncorrected energy: -3.307 eV per atom
* crystal system: tetragonal
* calculated formation energy: -0.22 eV per atom
* space-group type: P4/mbm

***

(10)
First-principles (PBEsol) data for KCd3Pd after structural relaxation, as listed in Alexandria via LeMat-Bulk.

Structure (POSCAR):
```
KCd3Pd
1.0
5.1871 0.0000 0.0000
0.0000 5.1871 0.0000
0.0000 0.0000 5.1871
K Cd Pd
1 3 1
Direct
0.0000 0.0000 0.0000 K
0.0000 0.5000 0.5000 Cd
0.5000 0.0000 0.5000 Cd
0.5000 0.5000 0.0000 Cd
0.5000 0.5000 0.5000 Pd
```

Output
* magnetic moment: 0.000 μB per cell
* uncorrected energy: -2.254 eV per atom
* crystal system: cubic
* calculated formation energy: -0.12 eV per atom
* space-group type: Pm-3m

***

(11)
First-principles (PBEsol) data for KCd2Pt2 after structural relaxation, as listed in Alexandria via LeMat-Bulk.

Structure (POSCAR):
```
KCd2Pt2
1.0
8.2018 0.0000 0.0000
0.0000 8.2018 0.0000
0.0000 0.0000 2.9159
K Cd Pt
2 4 4
Direct
0.0000 0.0000 0.0000 K
0.5000 0.5000 0.0000 K
0.1659 0.3341 0.5000 Cd
0.3341 0.8341 0.5000 Cd
0.6659 0.1659 0.5000 Cd
0.8341 0.6659 0.5000 Cd
0.1280 0.6280 0.0000 Pt
0.3720 0.1280 0.0000 Pt
0.6280 0.8720 0.0000 Pt
0.8720 0.3720 0.0000 Pt
```

Output
* magnetic moment: 0.000 μB per cell
* uncorrected energy: -3.713 eV per atom
* crystal system: tetragonal
* calculated formation energy: -0.22 eV per atom
* space-group type: P4/mbm
* distance to the lowest polymorph of the same formula: 0 meV/atom

***

(12)
First-principles (PBEsol) data for KCd2Pt2 after structural relaxation, as listed in Alexandria via LeMat-Bulk.

Structure (POSCAR):
```
KCd2Pt2
1.0
-2.2454 2.2454 5.6084
2.2454 -2.2454 5.6084
2.2454 2.2454 -5.6084
K Cd Pt
1 2 2
Direct
0.0000 0.0000 0.0000 K
0.2500 0.7500 0.5000 Cd
0.7500 0.2500 0.5000 Cd
0.3884 0.3884 0.0000 Pt
0.6116 0.6116 0.0000 Pt
```

Output
* magnetic moment: 0.000 μB per cell
* uncorrected energy: -3.605 eV per atom
* crystal system: tetragonal
* calculated formation energy: -0.11 eV per atom
* space-group type: I4/mmm
* distance to the lowest polymorph of the same formula: 108 meV/atom

***

(13)
First-principles (PBEsol) data for KCdPt after structural relaxation, as listed in Alexandria via LeMat-Bulk.

Structure (POSCAR):
```
KCdPt
1.0
-1.4982 2.1705 5.7250
1.4982 -2.1705 5.7250
1.4982 2.1705 -5.7250
K Cd Pt
1 1 1
Direct
0.0000 0.0000 0.0000 K
0.2739 0.2739 0.0000 Cd
0.7216 0.7216 0.0000 Pt
```

Output
* magnetic moment: 0.000 μB per cell
* uncorrected energy: -3.175 eV per atom
* crystal system: orthorhombic
* calculated formation energy: -0.08 eV per atom
* space-group type: Imm2
* distance to the lowest polymorph of the same formula: 0 meV/atom